No. 1
The following is a DFT calculation (PBE) of a relaxed CrRu2 crystal.

Calculated values
crystal system = tetragonal
DFT total energy = -25.923 eV/cell
ΔH_f (0 K) = 0.75 eV per atom
D(E_F) = 5.2 states/eV per cell
calculated volume = 15.28 A^3/atom

a = 4.0148 Å, b = 4.0148 Å, c = 2.8440 Å
α = 90.00°, β = 90.00°, γ = 90.00°
Space group P4/mmm (No. 123)
One atom of each set of equivalent atoms:
Cr 0.0000 0.0000 0.0000
Ru 0.0000 0.5000 0.5000

=====

No. 2
The following is a DFT calculation (PBE) of a relaxed YPuIr2 crystal.

Calculated values
crystal system = tetragonal
DFT total energy = -40.800 eV/cell
ΔH_f (0 K) = -0.57 eV per atom
D(E_F) = 8.8 states/eV per cell
calculated volume = 20.21 A^3/atom

a = 4.9937 Å, b = 4.9937 Å, c = 3.2417 Å
α = 90.00°, β = 90.00°, γ = 90.00°
Space group P4/mmm (No. 123)
One atom of each set of equivalent atoms:
Y 0.0000 0.0000 0.0000
Pu 0.5000 0.5000 0.0000
Ir 0.0000 0.5000 0.5000

=====

No. 3
The following is a DFT calculation (PBE) of a relaxed BaCdGaI2 crystal.

Calculated values
formation energy from raw total energies = -1.77 eV/f.u.
crystal system = tetragonal
DFT total energy = -10.739 eV/cell
D(E_F) = 1.9 states/eV per cell
calculated volume = 46.18 A^3/atom

a = 6.1029 Å, b = 6.1029 Å, c = 6.1991 Å
α = 90.00°, β = 90.00°, γ = 90.00°
Space group P4/mmm (No. 123)
One atom of each set of equivalent atoms:
Ba 0.0000 0.0000 0.0000
Cd 0.5000 0.5000 0.0000
Ga 0.0000 0.0000 0.5000
I 0.0000 0.5000 0.5000

=====

No. 4
The following is a DFT calculation (PBE) of a relaxed Rb2PuInS5 crystal.

Calculated values
formation energy from raw total energies = -9.21 eV/f.u.
crystal system = orthorhombic
DFT total energy = -195.411 eV/cell
D(E_F) = 30.9 states/eV per cell
calculated volume = 31.37 A^3/atom

a = 4.0721 Å, b = 19.0965 Å, c = 14.5216 Å
α = 90.00°, β = 90.00°, γ = 90.00°
Space group Cmc2_1 (No. 36)
One atom of each set of equivalent atoms:
Rb 0.0000 0.1065 0.0000
Rb 0.0000 0.1342 0.6394
Pu 0.0000 0.2084 0.3490
In 0.0000 0.4378 0.7567
S 0.0000 0.0632 0.3639
S 0.0000 0.2878 0.9641
S 0.0000 0.3044 0.7256
S 0.0000 0.3364 0.3286
S 0.0000 0.4992 0.6159

=====

No. 5
The following is a DFT calculation (PBE) of a relaxed PPtCl crystal.

Calculated values
formation energy from raw total energies = 0.95 eV/f.u.
crystal system = cubic
DFT total energy = -49.393 eV/cell
energy relative to the lowest polymorph listed for this composition = 0.6889 eV/atom
D(E_F) = 5.4 states/eV per cell
calculated volume = 18.86 A^3/atom

a = 6.0942 Å, b = 6.0942 Å, c = 6.0942 Å
α = 90.00°, β = 90.00°, γ = 90.00°
Space group F-43m (No. 216)
One atom of each set of equivalent atoms:
P 0.0000 0.0000 0.0000
Pt 0.2500 0.2500 0.2500
Cl 0.0000 0.0000 0.5000

=====

No. 6
The following is a DFT calculation (PBE) of a relaxed Tl3CdO6 crystal.

Calculated values
formation energy from raw total energies = -5.05 eV/f.u.
crystal system = orthorhombic
DFT total energy = -85.624 eV/cell
D(E_F) = 9.0 states/eV per cell
calculated volume = 15.66 A^3/atom

a = 7.8459 Å, b = 11.2197 Å, c = 3.5574 Å
α = 90.00°, β = 90.00°, γ = 90.00°
Space group Cmmm (No. 65)
One atom of each set of equivalent atoms:
Tl 0.0000 0.0000 0.0000
Tl 0.2500 0.2500 0.5000
Cd 0.0000 0.5000 0.0000
O 0.0000 0.3601 0.5000
O 0.2015 0.1266 0.0000

=====

No. 7
The following is a DFT calculation (PBE) of a relaxed Be4SiRh crystal.

Calculated values
formation energy from raw total energies = -2.09 eV/f.u.
crystal system = cubic
DFT total energy = -119.064 eV/cell
D(E_F) = 6.8 states/eV per cell
calculated volume = 9.46 A^3/atom

a = 6.0998 Å, b = 6.0998 Å, c = 6.0998 Å
α = 90.00°, β = 90.00°, γ = 90.00°
Space group F-43m (No. 216)
One atom of each set of equivalent atoms:
Be 0.1242 0.1242 0.1242
Si 0.0000 0.0000 0.5000
Rh 0.2500 0.2500 0.7500

=====

No. 8
The following is a DFT calculation (PBE) of a relaxed Rb2CeTa6Br15O3 crystal.

Calculated values
formation energy from raw total energies = -38.96 eV/f.u.
crystal system = trigonal
DFT total energy = -315.835 eV/cell
D(E_F) = 15.6 states/eV per cell
calculated volume = 27.36 A^3/atom

a = 9.5952 Å, b = 9.5952 Å, c = 18.5266 Å
α = 90.00°, β = 90.00°, γ = 120.00°
Space group P-31c (No. 163)
One atom of each set of equivalent atoms:
Rb 0.3333 0.6667 0.0354
Ce 0.3333 0.6667 0.7500
Ta 0.0166 0.1895 0.6874
Br 0.0190 0.2223 0.4109
Br 0.0724 0.4698 0.6187
Br 0.2137 0.4275 0.2500
O 0.1815 0.3630 0.7500

=====

No. 9
The following is a DFT calculation (PBE) of a relaxed HfTi2CoAs crystal.

Calculated values
crystal system = tetragonal
DFT total energy = -37.536 eV/cell
ΔH_f (0 K) = -0.01 eV per atom
D(E_F) = 3.5 states/eV per cell
calculated volume = 18.86 A^3/atom

a = 4.4220 Å, b = 4.4220 Å, c = 4.8222 Å
α = 90.00°, β = 90.00°, γ = 90.00°
Space group P4/mmm (No. 123)
One atom of each set of equivalent atoms:
Hf 0.0000 0.0000 0.0000
Ti 0.0000 0.5000 0.5000
Co 0.0000 0.0000 0.5000
As 0.5000 0.5000 0.0000

=====

No. 10
The following is a DFT calculation (PBE) of a relaxed NaGaCl4 crystal.

Calculated values
formation energy from raw total energies = -8.35 eV/f.u.
crystal system = orthorhombic
DFT total energy = -80.318 eV/cell
energy relative to the lowest polymorph listed for this composition = 0.0000 eV/atom
D(E_F) = 0.0 states/eV per cell
calculated volume = 30.92 A^3/atom

a = 6.3501 Å, b = 10.6026 Å, c = 11.0204 Å
α = 90.00°, β = 90.00°, γ = 90.00°
Space group P2_12_12_1 (No. 19)
One atom of each set of equivalent atoms:
Na 0.1321 0.0241 0.1358
Ga 0.0970 0.2362 0.7877
Cl 0.2016 0.4091 0.8807
Cl 0.2173 0.0631 0.8785
Cl 0.2227 0.2247 0.6020
Cl 0.2504 0.2647 0.2117

=====

No. 11
The following is a DFT calculation (PBE) of a relaxed KMo2Ru crystal.

Calculated values
crystal system = orthorhombic
DFT total energy = -54.030 eV/cell
ΔH_f (0 K) = 1.26 eV per atom
energy relative to the lowest polymorph listed for this composition = 0.5256 eV/atom
D(E_F) = 9.1 states/eV per cell
calculated volume = 19.04 A^3/atom

a = 2.9394 Å, b = 5.3288 Å, c = 9.7243 Å
α = 90.00°, β = 90.00°, γ = 90.00°
Space group Imm2 (No. 44)
One atom of each set of equivalent atoms:
K 0.0000 0.0000 0.0000
Mo 0.0000 0.0000 0.5038
Mo 0.0000 0.5000 0.7890
Ru 0.0000 0.5000 0.2178

=====

No. 12
The following is a DFT calculation (PBE) of a relaxed Cs2HPb crystal.

Calculated values
crystal system = trigonal
DFT total energy = -24.745 eV/cell
energy relative to the lowest polymorph listed for this composition = 0.0000 eV/atom
D(E_F) = 7.5 states/eV per cell
calculated volume = 40.40 A^3/atom

a = 4.0688 Å, b = 4.0688 Å, c = 33.8173 Å
α = 90.00°, β = 90.00°, γ = 120.00°
Space group R-3m (No. 166, hexagonal axes)
One atom of each set of equivalent atoms:
Cs 0.0000 0.0000 0.1112
H 0.0000 0.0000 0.5000
Pb 0.0000 0.0000 0.0000